## a
The following is a DFT calculation (PBE-GGA) of GdThTe2 after structural relaxation.

Summary:
As for the total magnetization: 1.912 μB/atom. As for the space group: P4/mmm (123).

Geometry as POSCAR:
```
GdThTe2
1.0
3.843 0.000 0.000
0.000 3.843 0.000
0.000 0.000 7.661
Gd Th Te
1 1 2
Direct
0.000 0.000 0.000 Gd
0.000 0.000 0.500 Th
0.500 0.500 0.252 Te
0.500 0.500 0.748 Te
```

***

## b
The following is a DFT calculation (PBE-GGA) of GdThTe2 after structural relaxation.

Summary:
As for the total magnetization: 1.873 μB/atom. As for the space group: Fm-3m (225).

Geometry as POSCAR:
```
GdThTe2
1.0
0.000 3.825 3.825
3.825 0.000 3.825
3.825 3.825 0.000
Gd Th Te
1 1 2
Direct
0.000 0.000 0.000 Gd
0.500 0.500 0.500 Th
0.250 0.250 0.250 Te
0.750 0.750 0.750 Te
```

***

## c
The following is a DFT calculation (PBE-GGA) of GdThTe2 after structural relaxation.

Summary:
As for the total magnetization: 1.710 μB/atom. As for the space group: R-3m (166).

Geometry as POSCAR:
```
GdThTe2
1.0
2.155 1.244 7.656
-2.155 1.244 7.656
0.000 -2.488 7.656
Gd Th Te
1 1 2
Direct
0.000 0.000 0.000 Gd
0.500 0.500 0.500 Th
0.253 0.253 0.253 Te
0.747 0.747 0.747 Te
```

***

What should be chosen as the least stable of them? Choose b.

***

## a
The following is a DFT calculation (PBE-GGA) of GdTmTe2 after structural relaxation.

Summary:
As for the total magnetization: 1.767 μB/atom. As for the space group: R-3m (166).

Geometry as POSCAR:
```
GdTmTe2
1.0
2.134 1.232 9.630
-2.134 1.232 9.630
0.000 -2.465 9.630
Gd Tm Te
1 1 2
Direct
0.000 0.000 0.000 Gd
0.500 0.500 0.500 Tm
0.397 0.397 0.397 Te
0.603 0.603 0.603 Te
```

***

## b
The following is a DFT calculation (PBE-GGA) of GdTmTe2 after structural relaxation.

Summary:
As for the total magnetization: 2.055 μB/atom. As for the space group: P4/mmm (123).

Geometry as POSCAR:
```
GdTmTe2
1.0
5.345 0.000 0.000
0.000 5.345 0.000
0.000 0.000 3.779
Gd Tm Te
1 1 2
Direct
0.000 0.000 0.000 Gd
0.500 0.500 0.000 Tm
0.000 0.500 0.500 Te
0.500 0.000 0.500 Te
```

***

What should be chosen as the least stable of them? Choose a.

***

## a
The following is a DFT calculation (PBE-GGA) of Gd2ZnTe after structural relaxation.

Summary:
As for the total magnetization: 3.626 μB/atom. As for the space group: R-3m (166).

Geometry as POSCAR:
```
Gd2ZnTe
1.0
2.078 1.200 7.572
-2.078 1.200 7.572
0.000 -2.399 7.572
Gd Zn Te
2 1 1
Direct
0.246 0.246 0.246 Gd
0.754 0.754 0.754 Gd
0.500 0.500 0.500 Zn
0.000 0.000 0.000 Te
```

***

## b
The following is a DFT calculation (PBE-GGA) of Gd2ZnTe after structural relaxation.

Summary:
As for the total magnetization: 3.757 μB/atom. As for the space group: P4/mmm (123).

Geometry as POSCAR:
```
Gd2ZnTe
1.0
3.818 0.000 0.000
0.000 3.818 0.000
0.000 0.000 7.064
Gd Zn Te
2 1 1
Direct
0.000 0.000 0.242 Gd
0.000 0.000 0.758 Gd
0.500 0.500 0.000 Zn
0.500 0.500 0.500 Te
```

***

What should be chosen as the least stable of them? Choose b.

***

## a
The following is a DFT calculation (PBE-GGA) of Gd2Th after structural relaxation.

Summary:
As for the total magnetization: 5.189 μB/atom. As for the space group: Fd-3m (227).

Geometry as POSCAR:
```
Gd2Th
1.0
0.000 4.589 4.589
4.589 0.000 4.589
4.589 4.589 0.000
Gd Th
4 2
Direct
0.000 0.000 0.000 Gd
0.000 0.000 0.500 Gd
0.000 0.500 0.000 Gd
0.500 0.000 0.000 Gd
0.375 0.375 0.375 Th
0.625 0.625 0.625 Th
```

***

## b
The following is a DFT calculation (PBE-GGA) of Gd2Th after structural relaxation.

Summary:
As for the total magnetization: 4.860 μB/atom. As for the space group: I4/mmm (139).

Geometry as POSCAR:
```
Gd2Th
1.0
-1.796 1.796 7.539
1.796 -1.796 7.539
1.796 1.796 -7.539
Gd Th
2 1
Direct
0.159 0.159 0.000 Gd
0.841 0.841 0.000 Gd
0.500 0.500 0.000 Th
```

***

What should be chosen as the least stable of them? Choose a.

***

## a
The following is a DFT calculation (PBE-GGA) of Gd3Th after structural relaxation.

Summary:
As for the total magnetization: 5.444 μB/atom. As for the space group: Pm-3m (221).

Geometry as POSCAR:
```
Gd3Th
1.0
5.058 0.000 0.000
0.000 5.058 0.000
0.000 0.000 5.058
Gd Th
3 1
Direct
0.000 0.000 0.500 Gd
0.000 0.500 0.000 Gd
0.500 0.000 0.000 Gd
0.500 0.500 0.500 Th
```

***

## b
The following is a DFT calculation (PBE-GGA) of Gd3Th after structural relaxation.

Summary:
As for the total magnetization: 2.051 μB/atom. As for the space group: Fm-3m (225).

Geometry as POSCAR:
```
Gd3Th
1.0
0.000 4.035 4.035
4.035 0.000 4.035
4.035 4.035 0.000
Gd Th
3 1
Direct
0.000 0.000 0.000 Gd
0.250 0.250 0.250 Gd
0.750 0.750 0.750 Gd
0.500 0.500 0.500 Th
```

***

## c
The following is a DFT calculation (PBE-GGA) of Gd3Th after structural relaxation.

Summary:
As for the total magnetization: 5.489 μB/atom. As for the space group: I4/mmm (139).

Geometry as POSCAR:
```
Gd3Th
1.0
-2.530 2.530 5.061
2.530 -2.530 5.061
2.530 2.530 -5.061
Gd Th
3 1
Direct
0.000 0.000 0.000 Gd
0.250 0.750 0.500 Gd
0.750 0.250 0.500 Gd
0.500 0.500 0.000 Th
```

***

What should be chosen as the least stable of them? Choose b.

***

## a
The following is a DFT calculation (PBE-GGA) of GdTh2Tl after structural relaxation.

Summary:
As for the total magnetization: 1.915 μB/atom. As for the space group: Fm-3m (225).

Geometry as POSCAR:
```
GdTh2Tl
1.0
0.000 3.934 3.934
3.934 0.000 3.934
3.934 3.934 0.000
Gd Th Tl
1 2 1
Direct
0.000 0.000 0.000 Gd
0.250 0.250 0.250 Th
0.750 0.750 0.750 Th
0.500 0.500 0.500 Tl
```

***

## b
The following is a DFT calculation (PBE-GGA) of GdTh2Tl after structural relaxation.

Summary:
As for the total magnetization: 1.948 μB/atom. As for the space group: R-3m (166).

Geometry as POSCAR:
```
GdTh2Tl
1.0
1.715 0.990 12.336
-1.715 0.990 12.336
0.000 -1.980 12.336
Gd Th Tl
1 2 1
Direct
0.000 0.000 0.000 Gd
0.090 0.090 0.090 Th
0.910 0.910 0.910 Th
0.500 0.500 0.500 Tl
```

***

What should be chosen as the least stable of them? Choose b.